No. 1
{
  "formula": "Ba2MgBiP",
  "functional": "GGA-PBE",
  "state": "optimized geometry",
  "dft_energy_ev_per_atom": -3.67,
  "e_form_mev_per_atom": -721,
  "dos_ef_per_ev_cell": 0.97,
  "sg": "No. 123",
  "cell": [[6.2495, 0.0000, 0.0000], [0.0000, 6.2495, 0.0000], [0.0000, 0.0000, 4.8749]],
  "species": ["Ba", "Ba", "Mg", "Bi", "P"],
  "frac_coords": [[0.0000, 0.5000, 0.0000], [0.5000, 0.0000, 0.0000], [0.0000, 0.0000, 0.5000], [0.5000, 0.5000, 0.5000], [0.0000, 0.0000, 0.0000]]
}



No. 2
{
  "formula": "Ba2MgBi3Pd4",
  "functional": "GGA-PBE",
  "state": "optimized geometry",
  "dft_energy_ev_per_atom": -4.43,
  "e_form_mev_per_atom": -644,
  "dos_ef_per_ev_cell": 4.02,
  "sg": "No. 115",
  "cell": [[4.8778, 0.0000, 0.0000], [0.0000, 4.8778, 0.0000], [0.0000, 0.0000, 11.0406]],
  "species": ["Ba", "Ba", "Mg", "Bi", "Bi", "Bi", "Pd", "Pd", "Pd", "Pd"],
  "frac_coords": [[0.0000, 0.5000, 0.2402], [0.5000, 0.0000, 0.7598], [0.0000, 0.0000, 0.5000], [0.0000, 0.5000, 0.8740], [0.5000, 0.0000, 0.1260], [0.5000, 0.5000, 0.5000], [0.0000, 0.0000, 0.0000], [0.0000, 0.5000, 0.6205], [0.5000, 0.0000, 0.3795], [0.5000, 0.5000, 0.0000]]
}



No. 3
{
  "formula": "Ba2MgBiPd",
  "functional": "GGA-PBE",
  "state": "optimized geometry",
  "dft_energy_ev_per_atom": -3.43,
  "e_form_mev_per_atom": -531,
  "dos_ef_per_ev_cell": 2.68,
  "sg": "No. 123",
  "cell": [[6.0724, 0.0000, 0.0000], [0.0000, 6.0724, 0.0000], [0.0000, 0.0000, 5.1122]],
  "species": ["Ba", "Ba", "Mg", "Bi", "Pd"],
  "frac_coords": [[0.0000, 0.5000, 0.0000], [0.5000, 0.0000, 0.0000], [0.0000, 0.0000, 0.5000], [0.5000, 0.5000, 0.5000], [0.0000, 0.0000, 0.0000]]
}



No. 4
{
  "formula": "Ba2MgBiPt",
  "functional": "GGA-PBE",
  "state": "optimized geometry",
  "dft_energy_ev_per_atom": -3.72,
  "e_form_mev_per_atom": -644,
  "dos_ef_per_ev_cell": 2.48,
  "sg": "No. 123",
  "cell": [[6.0718, 0.0000, 0.0000], [0.0000, 6.0718, 0.0000], [0.0000, 0.0000, 5.1208]],
  "species": ["Ba", "Ba", "Mg", "Bi", "Pt"],
  "frac_coords": [[0.0000, 0.5000, 0.0000], [0.5000, 0.0000, 0.0000], [0.0000, 0.0000, 0.5000], [0.5000, 0.5000, 0.5000], [0.0000, 0.0000, 0.0000]]
}



No. 5
{
  "formula": "BaMg2BiRh",
  "functional": "GGA-PBE",
  "state": "optimized geometry",
  "dft_energy_ev_per_atom": -3.65,
  "e_form_mev_per_atom": -379,
  "dos_ef_per_ev_cell": 3.54,
  "sg": "No. 123",
  "cell": [[5.1133, 0.0000, 0.0000], [0.0000, 5.1133, 0.0000], [0.0000, 0.0000, 5.3922]],
  "species": ["Ba", "Mg", "Mg", "Bi", "Rh"],
  "frac_coords": [[0.0000, 0.0000, 0.0000], [0.0000, 0.5000, 0.5000], [0.5000, 0.0000, 0.5000], [0.5000, 0.5000, 0.0000], [0.5000, 0.5000, 0.5000]]
}



No. 6
{
  "formula": "Ba2MgBiS5",
  "functional": "GGA-PBE",
  "state": "optimized geometry",
  "dft_energy_ev_per_atom": -4.60,
  "dos_ef_per_ev_cell": 9.85,
  "sg": "No. 36",
  "cell": [[2.1234, -9.0698, 0.0000], [2.1234, 9.0698, 0.0000], [0.0000, 0.0000, 12.9058]],
  "species": ["Ba", "Ba", "Ba", "Ba", "Mg", "Mg", "Bi", "Bi", "S", "S", "S", "S", "S", "S", "S", "S", "S", "S"],
  "frac_coords": [[0.0998, 0.9002, 0.5000], [0.1271, 0.8729, 0.1257], [0.8729, 0.1271, 0.6257], [0.9002, 0.0998, 0.0000], [0.4383, 0.5617, 0.2706], [0.5617, 0.4383, 0.7706], [0.2188, 0.7812, 0.8429], [0.7812, 0.2188, 0.3429], [0.0638, 0.9362, 0.8687], [0.2743, 0.7257, 0.4863], [0.3047, 0.6953, 0.2011], [0.3654, 0.6346, 0.8167], [0.4988, 0.5012, 0.6071], [0.5012, 0.4988, 0.1071], [0.6346, 0.3654, 0.3167], [0.6953, 0.3047, 0.7011], [0.7257, 0.2743, 0.9863], [0.9362, 0.0638, 0.3687]]
}



> Which formula does entry 3 have?

Ba2MgBiPd